Record 1
Compound: SrTl2Au2
Source: Alexandria via LeMat-Bulk
Functional: PBE
Structure: relaxed

abc: 14.0100 14.0100 14.0100
angles: 162.51 160.06 26.64
Last column: nearest neighbours and their distance in Å.
Positions (direct):
Sr 0.3222 0.0722 0.2500  10 Au 3.38-3.52
Sr 0.6778 0.9278 0.7500  10 Au 3.38-3.52
Tl 0.0484 0.7984 0.2500  2 Au 3.00, 4 Tl 3.23
Tl 0.4474 0.6974 0.7500  2 Au 3.15, 4 Tl 3.23
Tl 0.5526 0.3026 0.2500  2 Au 3.15, 4 Tl 3.23
Tl 0.9516 0.2016 0.7500  2 Au 3.00, 4 Tl 3.23
Au 0.1260 0.3760 0.7500  1 Au 2.73, 2 Tl 3.00
Au 0.2261 0.4761 0.7500  3 Au 2.73-2.75
Au 0.7739 0.5239 0.2500  3 Au 2.73-2.75
Au 0.8740 0.6240 0.2500  1 Au 2.73, 2 Tl 3.00

Polymorph energy (0 for the lowest one) (eV per formula unit): 0.00
Total magnetic moment (Bohr magnetons per cell): 0.00
Energy relative to the elements (eV/atom): -0.38
Electronic total energy (eV per cell): -29.76
DOS(E_F) (states/eV/f.u.): 2.29

---

Record 2
Compound: CaCoRh2
Source: Alexandria via LeMat-Bulk
Functional: PBE
Structure: relaxed

abc: 4.4927 4.4927 3.1561
angles: 90.00 90.00 90.00
Last column: nearest neighbours and their distance in Å.
Positions (direct):
Ca 0.0000 0.0000 0.0000  8 Rh 2.75
Co 0.5000 0.5000 0.0000  8 Rh 2.75
Rh 0.0000 0.5000 0.5000  4 Co 2.75, 4 Ca 2.75
Rh 0.5000 0.0000 0.5000  4 Co 2.75, 4 Ca 2.75

Polymorph energy (0 for the lowest one) (eV per formula unit): 0.39
Total magnetic moment (Bohr magnetons per cell): 3.30
Energy relative to the elements (eV/atom): 0.12
Electronic total energy (eV per cell): -23.35
DOS(E_F) (states/eV/f.u.): 4.69

---

Record 3
Compound: Zr3U
Source: Alexandria via LeMat-Bulk
Functional: PBE
Structure: relaxed

abc: 3.0226 5.2747 5.7586
angles: 90.00 90.00 90.00
Last column: nearest neighbours and their distance in Å.
Positions (direct):
Zr 0.0000 0.0000 0.0000  8 Zr 3.02-3.34, 4 U 3.22-3.28
Zr 0.0000 0.5000 0.2745  8 Zr 3.02-3.32, 4 U 3.32
Zr 0.5000 0.5000 0.7603  2 U 3.02, 10 Zr 3.02-3.34
U 0.5000 0.0000 0.5060  10 Zr 3.02-3.32, 2 U 3.02

Polymorph energy (0 for the lowest one) (eV per formula unit): 0.00
Total magnetic moment (Bohr magnetons per cell): 1.80
Energy relative to the elements (eV/atom): 0.19
Electronic total energy (eV per cell): -36.19
DOS(E_F) (states/eV/f.u.): 7.94

---

Record 4
Compound: HgBi2SbO6
Source: Alexandria via LeMat-Bulk
Functional: PBE
Structure: relaxed

abc: 6.3971 6.3971 6.3971
angles: 55.37 55.37 55.37
Last column: nearest neighbours and their distance in Å.
Positions (direct):
Hg 0.0000 0.0000 0.0000  3 O 2.49
Bi 0.2283 0.2283 0.2283  6 O 2.34-2.47
Bi 0.7481 0.7481 0.7481  6 O 2.38-2.46
Sb 0.5465 0.5465 0.5465  6 O 2.01-2.08
O 0.1894 0.4906 0.7755  1 Sb 2.01
O 0.3938 0.9139 0.5851  1 Sb 2.08
O 0.4906 0.7755 0.1894  1 Sb 2.01
O 0.5851 0.3938 0.9139  1 Sb 2.08
O 0.7755 0.1894 0.4906  1 Sb 2.01
O 0.9139 0.5851 0.3938  1 Sb 2.08

Total magnetic moment (Bohr magnetons per cell): 0.00
Electronic total energy (eV per cell): -52.26
DOS(E_F) (states/eV/f.u.): 4.18

---

Record 5
Compound: NbTe2
Source: Alexandria via LeMat-Bulk
Functional: PBE
Structure: relaxed

abc: 7.7227 7.7227 9.5892
angles: 110.87 110.87 27.42
Last column: nearest neighbours and their distance in Å.
Positions (direct):
Nb 0.0000 0.0000 0.0000  6 Te 2.85-2.91
Nb 0.3630 0.3630 0.7122  6 Te 2.69-2.93
Nb 0.6370 0.6370 0.2878  6 Te 2.69-2.93
Te 0.0036 0.0036 0.3050  3 Nb 2.76-2.91
Te 0.2947 0.2947 0.3843  3 Nb 2.86-2.93
Te 0.3515 0.3515 0.9857  3 Nb 2.69-2.85
Te 0.6485 0.6485 0.0143  3 Nb 2.69-2.85
Te 0.7053 0.7053 0.6157  3 Nb 2.86-2.93
Te 0.9964 0.9964 0.6950  3 Nb 2.76-2.91

Total magnetic moment (Bohr magnetons per cell): 0.00
Electronic total energy (eV per cell): -53.28
DOS(E_F) (states/eV/f.u.): 1.38

---

Record 6
Compound: CaAcAsCl
Source: Alexandria via LeMat-Bulk
Functional: PBE
Structure: relaxed

abc: 5.2855 5.2855 5.2855
angles: 60.00 60.00 60.00
Last column: nearest neighbours and their distance in Å.
Positions (direct):
Ca 0.0000 0.0000 0.0000  4 Cl 3.24, 4 As 3.24
Ac 0.5000 0.5000 0.5000  4 As 3.24, 4 Cl 3.24
As 0.2500 0.2500 0.2500  4 Ac 3.24, 4 Ca 3.24
Cl 0.7500 0.7500 0.7500  4 Ac 3.24, 4 Ca 3.24

Total magnetic moment (Bohr magnetons per cell): 0.00
Electronic total energy (eV per cell): -18.02
DOS(E_F) (states/eV/f.u.): 2.03

---

Record 7
Compound: Sc2Sn2Ge
Source: Alexandria via LeMat-Bulk
Functional: PBE
Structure: relaxed

abc: 7.1968 7.1968 4.4905
angles: 90.00 90.00 90.00
Last column: nearest neighbours and their distance in Å.
Positions (direct):
Sc 0.1659 0.3341 0.0000  2 Ge 2.68, 2 Sn 2.95
Sc 0.3341 0.8341 0.0000  2 Ge 2.68, 2 Sn 2.95
Sc 0.6659 0.1659 0.0000  2 Ge 2.68, 2 Sn 2.95
Sc 0.8341 0.6659 0.0000  2 Ge 2.68, 2 Sn 2.95
Sn 0.1465 0.6465 0.5000  6 Sc 2.95-3.18, 1 Sn 2.98
Sn 0.3535 0.1465 0.5000  6 Sc 2.95-3.18, 1 Sn 2.98
Sn 0.6465 0.8535 0.5000  6 Sc 2.95-3.18, 1 Sn 2.98
Sn 0.8535 0.3535 0.5000  6 Sc 2.95-3.18, 1 Sn 2.98
Ge 0.0000 0.0000 0.0000  4 Sc 2.68
Ge 0.5000 0.5000 0.0000  4 Sc 2.68

Polymorph energy (0 for the lowest one) (eV per formula unit): 0.00
Total magnetic moment (Bohr magnetons per cell): 0.00
Energy relative to the elements (eV/atom): -0.49
Electronic total energy (eV per cell): -55.49
DOS(E_F) (states/eV/f.u.): 1.63

---

Record 8
Compound: ZnInN2O
Source: Alexandria via LeMat-Bulk
Functional: PBE
Structure: relaxed

abc: 4.3101 4.3101 4.1775
angles: 90.00 90.00 90.00
Last column: nearest neighbours and their distance in Å.
Positions (direct):
Zn 0.0000 0.0000 0.0000  8 N 3.00, 4 O 3.05
In 0.5000 0.5000 0.5000  2 O 2.09, 4 N 2.16
N 0.0000 0.5000 0.5000  2 In 2.16
N 0.5000 0.0000 0.5000  2 In 2.16
O 0.5000 0.5000 0.0000  2 In 2.09

Total magnetic moment (Bohr magnetons per cell): 3.24
Electronic total energy (eV per cell): -19.32
DOS(E_F) (states/eV/f.u.): 1.76

---

Record 9
Compound: YMnCd2
Source: Alexandria via LeMat-Bulk
Functional: PBE
Structure: relaxed

abc: 3.3433 3.3433 7.8638
angles: 90.00 90.00 90.00
Last column: nearest neighbours and their distance in Å.
Positions (direct):
Y 0.0000 0.0000 0.0000  4 Mn 3.04, 4 Cd 3.34, 4 Y 3.34
Mn 0.5000 0.5000 0.7577  4 Cd 2.87, 4 Y 3.04
Cd 0.0000 0.0000 0.5517  4 Mn 2.87, 4 Cd 3.08
Cd 0.5000 0.5000 0.3002  8 Cd 3.08-3.34, 4 Y 3.34

Total magnetic moment (Bohr magnetons per cell): 2.86
Energy relative to the elements (eV/atom): 0.01
Electronic total energy (eV per cell): -17.44
DOS(E_F) (states/eV/f.u.): 2.48

---

Record 10
Compound: ScSnP2O8
Source: Alexandria via LeMat-Bulk
Functional: PBE
Structure: relaxed

abc: 7.7730 7.7730 7.7730
angles: 36.62 36.62 36.62
Last column: nearest neighbours and their distance in Å.
Positions (direct):
Sc 0.0000 0.0000 0.0000  6 O 2.11
Sn 0.5000 0.5000 0.5000  12 O 2.84-2.91
P 0.2527 0.2527 0.2527  4 O 1.54-1.57
P 0.7473 0.7473 0.7473  4 O 1.54-1.57
O 0.0226 0.4197 0.7352  1 P 1.54
O 0.1806 0.1806 0.1806  1 P 1.57
O 0.2648 0.9774 0.5803  1 P 1.54
O 0.4197 0.7352 0.0226  1 P 1.54
O 0.5803 0.2648 0.9774  1 P 1.54
O 0.7352 0.0226 0.4197  1 P 1.54
O 0.8194 0.8194 0.8194  1 P 1.57
O 0.9774 0.5803 0.2648  1 P 1.54

Total magnetic moment (Bohr magnetons per cell): 0.95
Electronic total energy (eV per cell): -86.87
DOS(E_F) (states/eV/f.u.): 10.88

---

Record 11
Compound: ZnAuBr4
Source: Alexandria via LeMat-Bulk
Functional: PBE
Structure: relaxed

abc: 6.5239 6.5239 11.8523
angles: 90.00 90.00 90.00
Last column: nearest neighbours and their distance in Å.
Positions (direct):
Zn 0.0000 0.0000 0.0000  4 Br 2.43
Zn 0.0000 0.0000 0.5000  4 Br 2.43
Au 0.0000 0.5000 0.2500  4 Br 2.60
Au 0.5000 0.0000 0.7500  4 Br 2.60
Br 0.1845 0.2562 0.3909  1 Zn 2.43, 1 Au 2.60
Br 0.1845 0.7438 0.1091  1 Zn 2.43, 1 Au 2.60
Br 0.2562 0.1845 0.8909  1 Zn 2.43, 1 Au 2.60
Br 0.2562 0.8155 0.6091  1 Zn 2.43, 1 Au 2.60
Br 0.7438 0.1845 0.6091  1 Zn 2.43, 1 Au 2.60
Br 0.7438 0.8155 0.8909  1 Zn 2.43, 1 Au 2.60
Br 0.8155 0.2562 0.1091  1 Zn 2.43, 1 Au 2.60
Br 0.8155 0.7438 0.3909  1 Zn 2.43, 1 Au 2.60

Polymorph energy (0 for the lowest one) (eV per formula unit): 0.00
Total magnetic moment (Bohr magnetons per cell): 2.00
Electronic total energy (eV per cell): -26.97
DOS(E_F) (states/eV/f.u.): 2.11

---

Record 12
Compound: Cd3P
Source: Alexandria via LeMat-Bulk
Functional: PBE
Structure: relaxed

abc: 4.9715 4.9715 4.9715
angles: 60.00 60.00 60.00
Last column: nearest neighbours and their distance in Å.
Positions (direct):
Cd 0.0000 0.0000 0.0000  8 Cd 3.04
Cd 0.2500 0.2500 0.2500  4 Cd 3.04, 4 P 3.04
Cd 0.7500 0.7500 0.7500  4 Cd 3.04, 4 P 3.04
P 0.5000 0.5000 0.5000  8 Cd 3.04

Polymorph energy (0 for the lowest one) (eV per formula unit): 0.82
Total magnetic moment (Bohr magnetons per cell): 0.00
Energy relative to the elements (eV/atom): 0.30
Electronic total energy (eV per cell): -6.97
DOS(E_F) (states/eV/f.u.): 2.21